{"formula": "BiRhW", "functional": "PBE-GGA", "state": "relaxed", "dos_at_fermi_per_ev_cell": 3.76, "m_tot_mub_per_fu": 0.0, "final_energy_ev_per_atom": -7.479, "ef_ev_per_atom": 0.5825, "cell": [[3.088, 0.000, 0.000], [-1.544, 2.674, 0.000], [0.000, 0.000, 13.649]], "species": ["W", "W", "Rh", "Rh", "Bi", "Bi"], "fractional_positions": [[0.778, 0.556, 0.650], [0.778, 0.556, 0.350], [0.444, 0.889, 0.000], [0.445, 0.889, 0.500], [0.111, 0.222, 0.167], [0.111, 0.222, 0.833]]}

---

{"formula": "NdSc2InAu4", "functional": "PBE-GGA", "state": "relaxed", "dos_at_fermi_per_ev_cell": 4.51, "m_tot_mub_per_fu": 0.0, "final_energy_ev_per_atom": -4.841, "ef_ev_per_atom": -0.6810, "cell": [[-2.090, 2.499, 3.456], [-4.140, -1.458, 1.814], [2.302, -4.463, 7.884]], "species": ["Au", "Au", "Au", "Au", "In", "Nd", "Sc", "Sc"], "fractional_positions": [[0.881, 0.881, 0.358], [0.609, 0.609, 0.174], [0.391, 0.391, 0.826], [0.119, 0.119, 0.642], [0.500, 0.500, 0.500], [0.000, 0.000, 0.000], [0.762, 0.762, 0.715], [0.238, 0.238, 0.285]]}

---

{"formula": "TeAsW2", "functional": "PBE-GGA", "state": "relaxed", "dos_at_fermi_per_ev_cell": 6.21, "m_tot_mub_per_fu": 3.6, "final_energy_ev_per_atom": -7.207, "cell": [[5.884, 0.000, 0.000], [0.000, 5.884, 0.000], [2.942, 2.942, 6.001]], "species": ["W", "W", "W", "W", "As", "As", "Te", "Te"], "fractional_positions": [[0.875, 0.844, 0.750], [0.375, 0.406, 0.750], [0.156, 0.625, 0.250], [0.594, 0.125, 0.250], [0.250, 0.750, 0.500], [0.500, 0.500, 0.000], [0.000, 0.000, 0.000], [0.750, 0.250, 0.500]]}

---

{"formula": "SrLiSn2Au2", "functional": "PBE-GGA", "state": "relaxed", "dos_at_fermi_per_ev_cell": 2.14, "m_tot_mub_per_fu": 0.0, "final_energy_ev_per_atom": -3.613, "ef_ev_per_atom": -0.5874, "cell": [[-3.570, 3.043, 0.711], [0.682, -3.603, 3.011], [4.463, 4.277, 4.106]], "species": ["Li", "Sn", "Sn", "Au", "Au", "Sr"], "fractional_positions": [[0.000, 0.000, 0.500], [0.333, 0.667, 0.303], [0.667, 0.333, 0.697], [0.333, 0.667, 0.700], [0.667, 0.333, 0.300], [0.000, 0.000, 0.000]]}

---

{"formula": "Sc2TlAs", "functional": "PBE-GGA", "state": "relaxed", "dos_at_fermi_per_ev_cell": 2.90, "m_tot_mub_per_fu": 0.7, "final_energy_ev_per_atom": -5.413, "ef_ev_per_atom": -0.4934, "cell": [[5.008, -0.043, -0.074], [-0.933, 4.921, -0.074], [0.286, 0.343, 3.505]], "species": ["Tl", "Sc", "Sc", "As"], "fractional_positions": [[0.500, 0.000, 0.500], [0.500, 0.500, 0.000], [0.000, 0.000, 0.000], [0.000, 0.500, 0.500]]}

---

{"formula": "Nd4Ni3Sb8", "functional": "PBE-GGA", "state": "relaxed", "dos_at_fermi_per_ev_cell": 10.24, "m_tot_mub_per_fu": 0.0, "final_energy_ev_per_atom": -5.377, "cell": [[-4.001, -0.466, -1.783], [-1.538, -1.503, 3.844], [-4.477, 18.144, 5.305]], "species": ["Sb", "Sb", "Sb", "Sb", "Sb", "Sb", "Sb", "Sb", "Ni", "Ni", "Ni", "Nd", "Nd", "Nd", "Nd"], "fractional_positions": [[0.000, 0.000, 0.752], [0.500, 0.500, 0.248], [0.500, 0.500, 0.752], [0.500, 0.000, 0.567], [0.500, 0.000, 0.062], [0.000, 0.000, 0.248], [0.000, 0.500, 0.938], [0.000, 0.500, 0.433], [0.500, 0.500, 0.500], [0.000, 0.000, 0.000], [0.000, 0.000, 0.500], [0.000, 0.500, 0.622], [0.000, 0.500, 0.117], [0.500, 0.000, 0.883], [0.500, 0.000, 0.378]]}

---

{"formula": "SrAc3As4", "functional": "PBE-GGA", "state": "relaxed", "dos_at_fermi_per_ev_cell": 5.00, "m_tot_mub_per_fu": 0.0, "final_energy_ev_per_atom": -5.400, "ef_ev_per_atom": -1.3243, "cell": [[6.412, 0.000, 0.000], [0.000, 6.412, 0.000], [0.000, 0.000, 6.412]], "species": ["As", "As", "As", "As", "Sr", "Ac", "Ac", "Ac"], "fractional_positions": [[0.000, 0.000, 0.500], [0.000, 0.500, 0.000], [0.500, 0.000, 0.000], [0.500, 0.500, 0.500], [0.000, 0.000, 0.000], [0.500, 0.000, 0.500], [0.500, 0.500, 0.000], [0.000, 0.500, 0.500]]}

---

{"formula": "CdIn4Ag3", "functional": "PBE-GGA", "state": "relaxed", "dos_at_fermi_per_ev_cell": 3.46, "m_tot_mub_per_fu": 0.0, "final_energy_ev_per_atom": -2.437, "ef_ev_per_atom": 0.1163, "cell": [[-0.201, 4.406, -0.896], [0.009, -0.897, -4.410], [-9.881, -0.437, 0.068]], "species": ["Ag", "Ag", "Ag", "In", "In", "In", "In", "Cd"], "fractional_positions": [[0.000, 0.000, 0.000], [0.500, 0.500, 0.364], [0.500, 0.500, 0.636], [0.000, 0.500, 0.184], [0.500, 0.000, 0.184], [0.000, 0.500, 0.816], [0.500, 0.000, 0.816], [0.000, 0.000, 0.500]]}